Here is a relaxed structure of CoPdSeO from OQMD via LeMat-Bulk. Energies are from PBE with a Hubbard U. Values from VASP.

Properties
E	-4.542	eV/atom
energy above the most stable polymorph in this dataset	48.0	kJ per mole of atoms
SG	No. 129

Quantum ESPRESSO input file:
```
&SYSTEM
  ibrav = 0, nat = 8, ntyp = 4
/
ATOMIC_SPECIES
Co 58.93 Co.upf
Pd 106.42 Pd.upf
Se 78.96 Se.upf
O 16.00 O.upf
ATOMIC_POSITIONS crystal
Co 0.250 0.750 0.000
Co 0.750 0.250 0.000
Pd 0.250 0.250 0.240
Pd 0.750 0.750 0.760
Se 0.250 0.250 0.758
Se 0.750 0.750 0.242
O 0.250 0.250 0.530
O 0.750 0.750 0.470
CELL_PARAMETERS angstrom
3.942 0.000 0.000
0.000 3.942 0.000
0.000 0.000 7.475
```